# 1
Compound: ReSnRu2I
Source: Alexandria via LeMat-Bulk
Functional: GGA-PBE
Structure: optimized geometry

The structure in POSCAR format:
```
ReSnRu2I
1.0
-0.120 -2.701 -3.925
2.853 -4.041 2.694
-4.108 -1.931 1.454
I Re Sn Ru
1 1 1 2
Direct
0.000 0.000 0.000 I
0.500 0.500 0.500 Re
0.000 0.500 0.000 Sn
0.000 0.000 0.500 Ru
0.500 0.000 0.000 Ru
```

Summary:
raw total energy = -4.871 eV per atom
E_form (uncorrected) = 12.2 eV/f.u.
magnetic moment = 4.97 μB/f.u.
V = 25.6 A^3/atom

=====

# 2
Compound: CaPmCd5
Source: Alexandria via LeMat-Bulk
Functional: GGA-PBE
Structure: optimized geometry

The structure in POSCAR format:
```
CaPmCd5
1.0
-0.038 -3.260 3.198
1.478 -3.035 -3.076
9.059 2.116 2.265
Ca Pm Cd
1 1 5
Direct
0.500 0.500 0.000 Ca
0.000 0.000 0.500 Pm
0.000 0.500 0.748 Cd
0.000 0.500 0.252 Cd
0.500 0.000 0.748 Cd
0.500 0.000 0.252 Cd
0.500 0.500 0.500 Cd
```

Summary:
energy relative to the elements = -90 kJ/mol of formula units
raw total energy = -1.751 eV per atom
magnetic moment = 0.00 μB/f.u.
V = 28.5 A^3/atom

=====

# 3
Compound: PmHCl
Source: Alexandria via LeMat-Bulk
Functional: GGA-PBE
Structure: optimized geometry

The structure in POSCAR format:
```
PmHCl
1.0
-0.785 -3.392 1.827
0.229 -3.395 -1.970
9.730 -1.400 2.599
Pm H Cl
2 2 2
Direct
0.155 0.155 0.641 Pm
0.845 0.845 0.359 Pm
0.173 0.173 0.416 H
0.827 0.827 0.584 H
0.525 0.525 0.192 Cl
0.475 0.475 0.808 Cl
```

Summary:
energy above the most stable polymorph in this dataset = 0 meV per atom
raw total energy = -4.738 eV per atom
magnetic moment = 0.00 μB/f.u.
V = 22.6 A^3/atom

=====

# 4
Compound: Cs3Li2PuBr9
Source: Alexandria via LeMat-Bulk
Functional: GGA-PBE
Structure: optimized geometry

The structure in POSCAR format:
```
Cs3Li2PuBr9
1.0
-6.308 4.323 2.292
2.450 -6.157 4.452
6.023 6.085 5.101
Cs Li Pu Br
3 2 1 9
Direct
0.333 0.667 0.692 Cs
0.000 0.000 0.000 Cs
0.667 0.333 0.308 Cs
0.333 0.667 0.095 Li
0.667 0.333 0.905 Li
0.000 0.000 0.500 Pu
0.836 0.164 0.659 Br
0.836 0.673 0.659 Br
0.327 0.164 0.659 Br
0.673 0.836 0.341 Br
0.164 0.327 0.341 Br
0.164 0.836 0.341 Br
0.500 0.000 0.000 Br
0.000 0.500 0.000 Br
0.500 0.500 0.000 Br
```

Summary:
raw total energy = -3.975 eV per atom
E_form (uncorrected) = -23.9 eV/f.u.
magnetic moment = 4.00 μB/f.u.
V = 36.7 A^3/atom

=====

# 5
Compound: Pm3Ge
Source: Alexandria via LeMat-Bulk
Functional: GGA-PBE
Structure: optimized geometry

The structure in POSCAR format:
```
Pm3Ge
1.0
-2.411 -0.815 -3.947
4.004 0.031 -2.453
-0.315 -4.533 3.923
Ge Pm
1 3
Direct
0.000 0.000 0.000 Ge
0.750 0.250 0.500 Pm
0.250 0.750 0.500 Pm
0.500 0.500 0.000 Pm
```

Summary:
energy relative to the elements = -116 kJ/mol of formula units
energy above the most stable polymorph in this dataset = 156 meV per atom
raw total energy = -5.017 eV per atom
magnetic moment = 0.00 μB/f.u.
V = 27.6 A^3/atom

=====

# 6
Compound: InCoSn4
Source: Alexandria via LeMat-Bulk
Functional: GGA-PBE
Structure: optimized geometry

The structure in POSCAR format:
```
InCoSn4
1.0
5.695 -1.077 0.000
-2.979 10.141 0.000
-1.358 -4.532 5.282
In Co Sn
2 2 8
Direct
0.310 0.560 0.119 In
0.690 0.440 0.881 In
0.247 0.997 0.994 Co
0.753 0.003 0.006 Co
0.089 0.131 0.810 Sn
0.722 0.707 0.608 Sn
0.222 0.679 0.810 Sn
0.386 0.901 0.608 Sn
0.614 0.099 0.392 Sn
0.778 0.321 0.190 Sn
0.278 0.293 0.392 Sn
0.911 0.869 0.190 Sn
```

Summary:
energy relative to the elements = 0 kJ/mol of formula units
raw total energy = -4.309 eV per atom
magnetic moment = 0.30 μB/f.u.
V = 24.0 A^3/atom

=====

# 7
Compound: V8Ge2Ru
Source: Alexandria via LeMat-Bulk
Functional: GGA-PBE
Structure: optimized geometry

The structure in POSCAR format:
```
V8Ge2Ru
1.0
-1.870 -2.282 5.428
0.270 -4.554 -4.081
4.557 -3.475 -2.150
V Ge Ru
8 2 1
Direct
0.412 0.340 0.833 V
0.588 0.167 0.660 V
0.208 0.829 0.829 V
0.792 0.171 0.171 V
0.412 0.833 0.340 V
0.588 0.660 0.167 V
0.936 0.594 0.594 V
0.064 0.406 0.406 V
0.762 0.765 0.765 Ge
0.238 0.235 0.235 Ge
0.000 0.000 0.000 Ru
```

Summary:
energy relative to the elements = 19 kJ/mol of formula units
raw total energy = -8.296 eV per atom
magnetic moment = 0.00 μB/f.u.
V = 14.3 A^3/atom

=====

# 8
Compound: Y2Re2I
Source: Alexandria via LeMat-Bulk
Functional: GGA-PBE
Structure: optimized geometry

The structure in POSCAR format:
```
Y2Re2I
1.0
8.576 0.000 0.000
0.000 8.576 0.000
0.000 0.000 3.443
I Re Y
2 4 4
Direct
0.000 0.000 0.000 I
0.500 0.500 0.000 I
0.093 0.593 0.500 Re
0.593 0.907 0.500 Re
0.907 0.407 0.500 Re
0.407 0.093 0.500 Re
0.315 0.815 0.000 Y
0.815 0.685 0.000 Y
0.685 0.185 0.000 Y
0.185 0.315 0.000 Y
```

Summary:
energy above the most stable polymorph in this dataset = 421 meV per atom
raw total energy = -7.465 eV per atom
E_form (uncorrected) = 2.0 eV/f.u.
magnetic moment = 0.72 μB/f.u.
V = 25.3 A^3/atom